## KTa2As (PBE)

Data for a relaxed structure of KTa2As.

```
data_KTa2As
_space_group_name_H-M_alt 'F -4 3 m'
_space_group_IT_number 216
_space_group_name_Hall 'F -4 2 3'
_cell_length_a 6.878
_cell_length_b 6.878
_cell_length_c 6.878
_cell_angle_alpha 90.00
_cell_angle_beta 90.00
_cell_angle_gamma 90.00
loop_
_atom_site_label
_atom_site_type_symbol
_atom_site_fract_x
_atom_site_fract_y
_atom_site_fract_z
K1 K 0.000 0.000 0.000
Ta1 Ta 0.000 0.000 0.500
Ta2 Ta 0.250 0.250 0.250
As1 As 0.250 0.250 0.750
```

Summary:
Total DFT energy (no corrections), eV/atom: -6.322
Energy relative to the elements, eV/atom: 1.04